Tb3Dy3Ho: relaxed, GGA-PBE.

* crystal system: trigonal
* calculated total energy: -4.4674 eV/atom
* excess energy over the best structure of this formula in the dataset: 0.133 eV per atom
* volume: 231 Å³/f.u.
* energy relative to the elements: 143 meV/atom

Unit cell a=14.561 b=14.561 c=14.561 alpha=24.39 beta=24.39 gamma=24.39
Element x y z (fractional)
Tb (0.133, 0.464, 0.801)
Tb (0.199, 0.867, 0.536)
Tb (0.464, 0.801, 0.133)
Tb (0.536, 0.199, 0.867)
Tb (0.801, 0.133, 0.464)
Tb (0.867, 0.536, 0.199)
Dy (0.066, 0.732, 0.400)
Dy (0.268, 0.600, 0.934)
Dy (0.400, 0.066, 0.732)
Dy (0.600, 0.934, 0.268)
Dy (0.732, 0.400, 0.066)
Dy (0.934, 0.268, 0.600)
Ho (0.333, 0.333, 0.333)
Ho (0.667, 0.667, 0.667)